AlB5 | PBE | relaxed

Cell and atoms, written as extended XYZ:
```
6
Lattice="2.973 0.000 0.000 0.000 3.936 0.000 0.000 -1.968 4.548" Properties=species:S:1:pos:R:3 pbc="T T T"
Al 0.000 0.000 0.000
B 0.000 1.968 0.993
B 1.487 0.000 2.700
B 1.487 1.968 0.000
B 1.487 1.968 1.847
B 0.000 0.000 3.555
```

- total energy (eV/atom) = -5.439
- SG = Cmmm (65)

***

AlB | PBE | relaxed

Cell and atoms, written as extended XYZ:
```
16
Lattice="6.425 0.000 0.000 0.000 3.917 0.000 0.000 0.000 7.949" Properties=species:S:1:pos:R:3 pbc="T T T"
Al 2.479 1.586 3.542
B 1.390 1.467 1.542
Al 0.896 3.414 2.291
Al 5.529 1.455 1.684
Al 4.108 2.462 5.658
Al 3.946 3.545 0.432
B 1.381 3.581 4.394
B 1.823 2.451 5.517
B 4.594 2.295 3.555
B 5.043 1.622 7.530
Al 0.734 2.331 7.517
Al 5.691 0.373 4.407
B 1.831 0.337 0.419
B 4.602 0.492 6.407
Al 2.316 0.503 6.266
B 5.035 3.425 2.432
```

- total energy (eV/atom) = -4.963
- SG = P2_12_12_1 (19)

***

AlB | PBE | relaxed

Cell and atoms, written as extended XYZ:
```
32
Lattice="3.666 0.000 0.000 0.000 12.589 0.000 0.000 0.000 9.566" Properties=species:S:1:pos:R:3 pbc="T T T"
B 2.750 9.442 6.362
Al 1.833 2.026 4.783
B 0.000 6.294 5.595
B 0.000 0.000 8.753
B 1.833 6.294 0.812
Al 0.917 11.468 2.391
Al 0.000 10.563 0.000
Al 0.000 8.321 4.783
B 2.750 3.147 1.579
B 0.917 3.147 7.987
B 1.833 0.000 5.595
Al 2.750 1.121 2.391
Al 0.917 7.415 2.391
B 2.750 3.147 3.204
Al 0.000 4.268 4.783
B 0.000 6.294 3.970
B 1.833 6.294 8.753
Al 2.750 11.468 7.174
Al 1.833 8.321 0.000
B 0.917 9.442 1.579
Al 2.750 7.415 7.174
Al 1.833 4.268 0.000
B 0.917 3.147 6.362
Al 1.833 10.563 4.783
B 0.917 9.442 3.204
Al 0.000 2.026 0.000
Al 0.917 5.173 7.174
Al 0.917 1.121 7.174
B 0.000 0.000 0.812
B 2.750 9.442 7.987
Al 2.750 5.173 2.391
B 1.833 0.000 3.970
```

- total energy (eV/atom) = -4.791
- SG = Fddd (70)

***

AlB | PBE | relaxed

Cell and atoms, written as extended XYZ:
```
4
Lattice="3.009 0.000 0.072 1.502 2.609 0.046 1.518 0.936 5.808" Properties=species:S:1:pos:R:3 pbc="T T T"
B 2.662 1.685 5.609
Al 4.199 2.559 4.238
Al 1.179 0.787 1.925
B 5.668 3.425 5.904
```

- total energy (eV/atom) = -5.159
- SG = Cm (8)

***

no.,total magnetization (μB per atom)
1,0.0000
2,0.0000
3,0.0000
4,0.0000